Record 1
Entry from Alexandria: a PBEsol-optimized structure of InSi2Hg (meta-GGA SCAN).

Cell: 2.945 3.449 7.826 Å, 90.00 90.08 90.00°
Space group Pm (No. 6)
One atom of each set of equivalent atoms:
In: 0.000 0.000 0.000 (multiplicity 1)
Si: 0.003 0.500 0.710 (multiplicity 1)
Si: 0.503 0.000 0.566 (multiplicity 1)
Hg: 0.501 0.500 0.285 (multiplicity 1)

Results
Its formation energy without anion corrections is 0.3784 eV/atom. The energy comes out at -30.018 eV/atom. Its density of states at the Fermi level is 1.431 states/eV/cell. The polymorph energy (0 for the lowest one) comes out at 0.093 eV per atom.



Record 2
Entry from Alexandria: a PBEsol-optimized structure of InSi2Hg (meta-GGA SCAN).

Cell: 3.366 3.366 7.547 Å, 90.00 90.00 90.00°
Space group P4mm (No. 99)
One atom of each set of equivalent atoms:
In: 0.000 0.000 0.000 (multiplicity 1)
Si: 0.000 0.000 0.346 (multiplicity 1)
Si: 0.500 0.500 0.426 (multiplicity 1)
Hg: 0.500 0.500 0.760 (multiplicity 1)

Results
Its formation energy without anion corrections is 0.2857 eV/atom. The energy comes out at -30.110 eV/atom. Its density of states at the Fermi level is 1.735 states/eV/cell. The polymorph energy (0 for the lowest one) comes out at 0.000 eV per atom.



Record 3
Entry from Alexandria: a PBEsol-optimized structure of InSi2Hg (meta-GGA SCAN).

Cell: 3.0689 3.0689 29.1912 Å, 90.00 90.00 120.00°
Space group R-3m (No. 166, hexagonal axes)
One atom of each set of equivalent atoms:
In: 0.0000 0.0000 0.0000 (multiplicity 3)
Si: 0.0000 0.0000 0.2474 (multiplicity 6)
Hg: 0.0000 0.0000 0.5000 (multiplicity 3)

Results
Its formation energy without anion corrections is 0.6911 eV/atom. The energy comes out at -29.705 eV/atom. Its density of states at the Fermi level is 5.079 states/eV/cell. The polymorph energy (0 for the lowest one) comes out at 0.405 eV per atom.



Record 4
Entry from Alexandria: a PBEsol-optimized structure of Sm2InHg (meta-GGA SCAN).

Cell: 7.502 7.502 7.502 Å, 90.00 90.00 90.00°
Space group Fm-3m (No. 225)
One atom of each set of equivalent atoms:
Sm: 0.250 0.250 0.250 (multiplicity 8)
In: 0.000 0.000 0.000 (multiplicity 4)
Hg: 0.000 0.000 0.500 (multiplicity 4)

Results
The energy comes out at -48.278 eV/atom. Its density of states at the Fermi level is 11.392 states/eV/cell. For the energy of formation from the pure elements, the calculation gives -0.67 eV/atom.



Record 5
Entry from Alexandria: a PBEsol-optimized structure of InSnHg2 (meta-GGA SCAN).

Cell: 4.321 4.321 21.551 Å, 90.00 90.00 90.00°
Space group I-42d (No. 122)
One atom of each set of equivalent atoms:
In: 0.000 0.000 0.000 (multiplicity 4)
Sn: 0.000 0.000 0.500 (multiplicity 4)
Hg: 0.249 0.250 0.125 (multiplicity 8)

Results
The energy comes out at -51.351 eV/atom. Its density of states at the Fermi level is 7.578 states/eV/cell. For the energy of formation from the pure elements, the calculation gives 0.06 eV/atom.



Record 6
Entry from Alexandria: a PBEsol-optimized structure of SrInHg2 (meta-GGA SCAN).

Cell: 3.685 4.837 6.166 Å, 90.00 101.91 90.00°
Space group Pm (No. 6)
One atom of each set of equivalent atoms:
Sr: 0.000 0.000 0.000 (multiplicity 1)
In: 0.333 0.500 0.679 (multiplicity 1)
Hg: 0.580 0.000 0.482 (multiplicity 1)
Hg: 0.596 0.500 0.217 (multiplicity 1)

Results
The energy comes out at -48.403 eV/atom. Its density of states at the Fermi level is 1.879 states/eV/cell. For the energy of formation from the pure elements, the calculation gives -0.40 eV/atom.



Record 7
Entry from Alexandria: a PBEsol-optimized structure of SrInHg2 (meta-GGA SCAN).

Cell: 4.308 5.171 9.518 Å, 90.00 90.00 90.00°
Space group Imm2 (No. 44)
One atom of each set of equivalent atoms:
Sr: 0.000 0.000 0.000 (multiplicity 2)
In: 0.000 0.500 0.229 (multiplicity 2)
Hg: 0.000 0.000 0.498 (multiplicity 2)
Hg: 0.000 0.500 0.765 (multiplicity 2)

Results
The energy comes out at -48.395 eV/atom. Its density of states at the Fermi level is 3.299 states/eV/cell. For the energy of formation from the pure elements, the calculation gives -0.40 eV/atom.



Record 8
Entry from Alexandria: a PBEsol-optimized structure of SrInHg2 (meta-GGA SCAN).

Cell: 3.879 3.879 7.012 Å, 90.00 90.09 90.00°
Space group P2/m (No. 10)
One atom of each set of equivalent atoms:
Sr: 0.000 0.000 0.000 (multiplicity 1)
In: 0.000 0.000 0.500 (multiplicity 1)
Hg: 0.499 0.500 0.730 (multiplicity 2)

Results
The energy comes out at -48.431 eV/atom. Its density of states at the Fermi level is 1.895 states/eV/cell. For the energy of formation from the pure elements, the calculation gives -0.43 eV/atom.



- Look up the energy of the eighth one.
  -48.431 eV/atom



- Which value of energy does entry 8 give?
  -48.431 eV/atom



- What is the formula in the third record?
  InSi2Hg